(1)
Ti2AgGeCl | SCAN | single point on PBEsol structure

Cell and atoms, written as POSCAR:
```
Ti2AgGeCl
1.0
4.852 0.000 0.000
0.000 4.852 0.000
0.000 0.000 4.897
Ge Cl Ag Ti
1 1 1 2
Cartesian
0.000 0.000 0.000
0.000 0.000 2.449
2.426 2.426 2.449
0.000 2.426 0.000
2.426 0.000 0.000
```

Output
VASP energy, eV per atom: -17.46
ρ, g cm⁻³: 4.5
Spin magnetization, μB/cell: 3.34


(2)
AgH2Cl | SCAN | single point on PBEsol structure

Cell and atoms, written as POSCAR:
```
AgH2Cl
1.0
-0.097 3.671 1.569
-3.502 1.815 0.620
-1.335 0.545 3.724
H Ag Cl
2 1 1
Cartesian
-1.233 1.507 1.478
-3.700 4.522 4.435
-2.467 3.015 2.957
0.000 0.000 0.000
```

Output
VASP energy, eV per atom: -10.61
ρ, g cm⁻³: 5.4
Spin magnetization, μB/cell: 1.38


(3)
AgHCl2 | SCAN | single point on PBEsol structure

Cell and atoms, written as POSCAR:
```
AgHCl2
1.0
4.058 0.000 0.000
2.029 3.514 0.000
2.029 1.171 5.809
H Ag Cl
1 1 2
Cartesian
0.000 0.000 0.000
4.058 2.343 2.905
6.086 3.514 1.555
2.029 1.171 4.254
```

Output
VASP energy, eV per atom: -13.18
ρ, g cm⁻³: 3.6
Spin magnetization, μB/cell: 0.00


(4)
Y2AgHCl | SCAN | single point on PBEsol structure

Cell and atoms, written as POSCAR:
```
Y2AgHCl
1.0
-3.829 -2.439 0.007
0.252 -0.381 4.517
-2.510 3.942 0.473
Y H Ag Cl
2 1 1 1
Cartesian
0.126 -0.191 2.258
-1.914 -1.220 0.004
0.000 0.000 0.000
-3.044 0.561 2.498
-1.255 1.971 0.236
```

Output
VASP energy, eV per atom: -20.08
ρ, g cm⁻³: 5.5
Spin magnetization, μB/cell: 0.00


(5)
Hf3AgCl | SCAN | single point on PBEsol structure

Cell and atoms, written as POSCAR:
```
Hf3AgCl
1.0
-3.163 2.374 2.441
1.843 -1.608 3.952
2.863 3.657 0.153
Hf Ag Cl
3 1 1
Cartesian
0.921 -0.804 1.976
1.432 1.829 0.076
-1.581 1.187 1.221
0.772 2.212 3.273
0.000 0.000 0.000
```

Output
VASP energy, eV per atom: -45.23
ρ, g cm⁻³: 11.2
Spin magnetization, μB/cell: 0.00


(6)
HfAgS2Cl | SCAN | single point on PBEsol structure

Cell and atoms, written as POSCAR:
```
HfAgS2Cl
1.0
-0.651 -3.966 2.792
4.849 -0.476 0.455
-0.096 2.807 3.964
S Hf Ag Cl
2 1 1 1
Cartesian
2.425 -0.238 0.227
-0.325 -1.983 1.396
0.000 0.000 0.000
2.051 -0.817 3.605
-0.048 1.403 1.982
```

Output
VASP energy, eV per atom: -25.13
ρ, g cm⁻³: 5.5
Spin magnetization, μB/cell: 0.00


(7)
AgHg2Cl | SCAN | single point on PBEsol structure

Cell and atoms, written as POSCAR:
```
AgHg2Cl
1.0
3.401 0.000 0.000
1.700 5.322 0.024
1.700 2.357 4.946
Hg Ag Cl
2 1 1
Cartesian
1.700 2.364 4.857
1.700 2.023 1.768
3.401 4.345 1.964
5.101 5.143 3.812
```

Output
VASP energy, eV per atom: -44.13
ρ, g cm⁻³: 10.1
Spin magnetization, μB/cell: 0.00


(8)
AgHg2Cl | SCAN | single point on PBEsol structure

Cell and atoms, written as POSCAR:
```
AgHg2Cl
1.0
3.488 0.000 0.000
0.000 5.434 -0.027
0.000 -2.355 4.987
Hg Ag Cl
2 1 1
Cartesian
0.000 5.412 -0.003
1.744 3.255 1.362
0.000 1.480 2.521
1.744 -0.094 3.533
```

Output
VASP energy, eV per atom: -44.15
ρ, g cm⁻³: 9.6
Spin magnetization, μB/cell: 0.00